Record 1
Density functional theory data (GGA-PBE) for an optimized crystal structure of K3DyTc2O9.

Lattice parameters (Å, degrees): 5.756 5.756 7.133 90.00 90.00 120.00
Sites, in units of the cell vectors:
1 K 0.333 0.667 0.673
2 K 0.000 0.000 0.000
3 K 0.667 0.333 0.327
4 Dy 0.000 0.000 0.500
5 Tc 0.333 0.667 0.160
6 Tc 0.667 0.333 0.840
7 O 0.821 0.179 0.690
8 O 0.821 0.643 0.690
9 O 0.357 0.179 0.690
10 O 0.643 0.821 0.310
11 O 0.179 0.357 0.310
12 O 0.179 0.821 0.310
13 O 0.500 0.000 0.000
14 O 0.000 0.500 0.000
15 O 0.500 0.500 0.000

Summary:
- space group = P-3m1
- formation energy from raw total energies (eV per atom) = -1.896
- DOS(E_F) (states/eV/f.u.) = 5.911


Record 2
Density functional theory data (GGA-PBE) for an optimized crystal structure of RbTlSN2.

Lattice parameters (Å, degrees): 5.350 5.350 6.302 90.00 90.00 90.00
Last column: magnetic moment on the atom in μB.
Sites, in units of the cell vectors:
1 Tl 0.500 0.500 0.500  0.00
2 S 0.000 0.000 0.500  0.48
3 Rb 0.000 0.000 0.000  0.10
4 N 0.000 0.500 0.000  1.69
5 N 0.500 0.000 0.000  1.69

Summary:
- offset from the most stable computed form (eV per atom) = 0.626
- space group = P4/mmm
- formation energy from raw total energies (eV per atom) = 1.870
- DOS(E_F) (states/eV/f.u.) = 4.819


Record 3
Density functional theory data (GGA-PBE) for an optimized crystal structure of NbAsO2.

Lattice parameters (Å, degrees): 7.143 7.143 7.143 23.55 23.55 23.55
Sites, in units of the cell vectors:
1 Nb 0.500 0.500 0.500
2 As 0.000 0.000 0.000
3 O 0.899 0.899 0.899
4 O 0.101 0.101 0.101

Summary:
- space group = R-3m
- formation energy from raw total energies (eV per atom) = -1.432
- DOS(E_F) (states/eV/f.u.) = 1.639


Record 4
Density functional theory data (GGA-PBE) for an optimized crystal structure of TaTl3Sb.

Lattice parameters (Å, degrees): 5.727 5.727 5.727 90.00 90.00 90.00
Last column: magnetic moment on the atom in μB.
Sites, in units of the cell vectors:
1 Sb 0.000 0.000 0.000  0.04
2 Tl 0.000 0.500 0.000  0.01
3 Tl 0.000 0.000 0.500  0.01
4 Tl 0.500 0.000 0.000  0.00
5 Ta 0.500 0.500 0.500  2.19

Summary:
- offset from the most stable computed form (eV per atom) = 0.631
- space group = Pm-3m
- formation energy from raw total energies (eV per atom) = 1.503
- DOS(E_F) (states/eV/f.u.) = 7.306


Record 5
Density functional theory data (GGA-PBE) for an optimized crystal structure of CuMoOs.

Lattice parameters (Å, degrees): 4.336 4.336 2.640 90.00 90.00 120.00
Sites, in units of the cell vectors:
1 Cu 0.000 0.000 0.980
2 Mo 0.333 0.667 0.367
3 Os 0.667 0.333 0.653

Summary:
- offset from the most stable computed form (eV per atom) = 0.084
- space group = P3m1
- energy of formation from the pure elements (eV/atom) = 0.23
- DOS(E_F) (states/eV/f.u.) = 1.961


Record 6
Density functional theory data (GGA-PBE) for an optimized crystal structure of BeRh2.

Lattice parameters (Å, degrees): 4.104 4.104 5.095 90.00 90.00 120.00
Sites, in units of the cell vectors:
1 Be 0.333 0.667 0.250
2 Be 0.667 0.333 0.750
3 Rh 0.000 0.000 0.000
4 Rh 0.000 0.000 0.500
5 Rh 0.333 0.667 0.750
6 Rh 0.667 0.333 0.250

Summary:
- space group = P6_3/mmc
- energy of formation from the pure elements (eV/atom) = -0.19
- DOS(E_F) (states/eV/f.u.) = 3.288


Record 7
Density functional theory data (GGA-PBE) for an optimized crystal structure of Pm6Sm2Y3Tl.

Lattice parameters (Å, degrees): 6.221 6.221 11.878 95.03 95.03 120.10
Sites, in units of the cell vectors:
1 Pm 0.917 0.590 0.751
2 Pm 0.756 0.756 0.250
3 Pm 0.083 0.410 0.249
4 Pm 0.590 0.917 0.751
5 Pm 0.244 0.244 0.750
6 Pm 0.410 0.083 0.249
7 Sm 0.334 0.666 0.000
8 Sm 0.666 0.334 0.000
9 Y 0.167 0.833 0.500
10 Y 0.833 0.167 0.500
11 Y 0.500 0.500 0.500
12 Tl 0.000 0.000 0.000

Summary:
- space group = C2/m
- energy of formation from the pure elements (eV/atom) = -0.02
- DOS(E_F) (states/eV/f.u.) = 13.642


Record 8
Density functional theory data (GGA-PBE) for an optimized crystal structure of YTl2Ru.

Lattice parameters (Å, degrees): 4.362 4.316 4.764 90.00 90.00 90.00
Sites, in units of the cell vectors:
1 Ru 0.000 0.500 0.500
2 Tl 0.000 0.000 0.000
3 Tl 0.500 0.500 0.000
4 Y 0.500 0.000 0.500

Summary:
- offset from the most stable computed form (eV per atom) = 0.101
- space group = Pmmm
- energy of formation from the pure elements (eV/atom) = 0.11
- DOS(E_F) (states/eV/f.u.) = 3.637


Record 9
Density functional theory data (GGA-PBE) for an optimized crystal structure of PmDy5Ho12.

Lattice parameters (Å, degrees): 14.981 10.604 4.997 90.00 90.00 45.06
Sites, in units of the cell vectors:
1 Pm 0.000 0.000 0.000
2 Dy 0.500 0.000 0.500
3 Dy 0.168 0.665 0.500
4 Dy 0.832 0.335 0.500
5 Dy 0.666 0.667 0.000
6 Dy 0.334 0.333 0.000
7 Ho 0.832 0.000 0.500
8 Ho 0.168 0.000 0.500
9 Ho 0.667 0.000 0.000
10 Ho 0.333 0.000 0.000
11 Ho 0.335 0.666 0.000
12 Ho 0.000 0.666 0.000
13 Ho 0.000 0.334 0.000
14 Ho 0.665 0.334 0.000
15 Ho 0.500 0.333 0.500
16 Ho 0.833 0.667 0.500
17 Ho 0.167 0.333 0.500
18 Ho 0.500 0.667 0.500

Summary:
- space group = Cmmm
- energy of formation from the pure elements (eV/atom) = 0.02
- DOS(E_F) (states/eV/f.u.) = 24.577


Record 10
Density functional theory data (GGA-PBE) for an optimized crystal structure of CdReC3.

Lattice parameters (Å, degrees): 4.075 4.075 4.075 90.00 90.00 90.00
Sites, in units of the cell vectors:
1 Re 0.500 0.500 0.500
2 C 0.000 0.500 0.000
3 C 0.000 0.000 0.500
4 C 0.500 0.000 0.000
5 Cd 0.000 0.000 0.000

Summary:
- offset from the most stable computed form (eV per atom) = 2.171
- space group = Pm-3m
- energy of formation from the pure elements (eV/atom) = 3.88
- DOS(E_F) (states/eV/f.u.) = 3.018


Record 11
Density functional theory data (GGA-PBE) for an optimized crystal structure of Mg2Bi.

Lattice parameters (Å, degrees): 4.608 4.608 7.546 90.00 90.00 90.00
Sites, in units of the cell vectors:
1 Mg 0.000 0.000 0.500
2 Mg 0.500 0.500 0.500
3 Mg 0.000 0.500 0.819
4 Mg 0.500 0.000 0.181
5 Bi 0.000 0.500 0.226
6 Bi 0.500 0.000 0.774

Summary:
- space group = P4/nmm
- energy of formation from the pure elements (eV/atom) = -0.13
- DOS(E_F) (states/eV/f.u.) = 1.294


Record 12
Density functional theory data (GGA-PBE) for an optimized crystal structure of CaInHg3.

Lattice parameters (Å, degrees): 5.501 5.501 5.501 90.00 90.00 90.00
Sites, in units of the cell vectors:
1 Ca 0.500 0.500 0.500
2 Hg 0.000 0.500 0.000
3 Hg 0.000 0.000 0.500
4 Hg 0.500 0.000 0.000
5 In 0.000 0.000 0.000

Summary:
- offset from the most stable computed form (eV per atom) = 0.251
- space group = Pm-3m
- energy of formation from the pure elements (eV/atom) = 0.05
- DOS(E_F) (states/eV/f.u.) = 3.026


Record 13
Density functional theory data (GGA-PBE) for an optimized crystal structure of LiMg6Cd.

Lattice parameters (Å, degrees): 5.120 5.120 8.161 76.54 76.54 73.44
Sites, in units of the cell vectors:
1 Li 0.500 0.500 0.500
2 Mg 0.064 0.558 0.304
3 Mg 0.558 0.064 0.304
4 Mg 0.442 0.936 0.696
5 Mg 0.936 0.442 0.696
6 Mg 0.361 0.361 0.927
7 Mg 0.639 0.639 0.073
8 Cd 0.000 0.000 0.000

Summary:
- offset from the most stable computed form (eV per atom) = 0.163
- space group = C2/m
- energy of formation from the pure elements (eV/atom) = 0.10
- DOS(E_F) (states/eV/f.u.) = 3.454


Record 14
Density functional theory data (GGA-PBE) for an optimized crystal structure of BePt.

Lattice parameters (Å, degrees): 3.182 3.182 5.752 90.00 90.00 120.00
Sites, in units of the cell vectors:
1 Be 0.333 0.667 0.250
2 Be 0.667 0.333 0.750
3 Pt 0.000 0.000 0.000
4 Pt 0.000 0.000 0.500

Summary:
- space group = P6_3/mmc
- energy of formation from the pure elements (eV/atom) = -0.46
- DOS(E_F) (states/eV/f.u.) = 0.491


Record 15
Density functional theory data (GGA-PBE) for an optimized crystal structure of MgCo2Tc.

Lattice parameters (Å, degrees): 5.149 5.149 5.149 149.18 129.80 60.08
Last column: magnetic moment on the atom in μB.
Sites, in units of the cell vectors:
1 Co 0.009 0.009 0.000  1.26
2 Co 0.228 0.728 0.500  1.38
3 Mg 0.492 0.492 0.000  -0.01
4 Tc 0.771 0.271 0.500  0.37

Summary:
- space group = Imm2
- energy of formation from the pure elements (eV/atom) = 0.19
- DOS(E_F) (states/eV/f.u.) = 5.741


Record 16
Density functional theory data (GGA-PBE) for an optimized crystal structure of Dy2Be3ZnNi12.

Lattice parameters (Å, degrees): 6.164 6.164 6.164 85.52 85.52 85.52
Sites, in units of the cell vectors:
1 Dy 0.690 0.690 0.690
2 Dy 0.310 0.310 0.310
3 Be 0.500 0.000 0.000
4 Be 0.000 0.500 0.000
5 Be 0.000 0.000 0.500
6 Zn 0.000 0.000 0.000
7 Ni 0.399 0.399 0.875
8 Ni 0.815 0.815 0.298
9 Ni 0.298 0.815 0.815
10 Ni 0.875 0.399 0.399
11 Ni 0.815 0.298 0.815
12 Ni 0.399 0.875 0.399
13 Ni 0.601 0.601 0.125
14 Ni 0.185 0.185 0.702
15 Ni 0.702 0.185 0.185
16 Ni 0.125 0.601 0.601
17 Ni 0.185 0.702 0.185
18 Ni 0.601 0.125 0.601

Summary:
- space group = R-3m
- energy of formation from the pure elements (eV/atom) = -0.02
- DOS(E_F) (states/eV/f.u.) = 17.239


Record 17
Density functional theory data (GGA-PBE) for an optimized crystal structure of K2SbCl8.

Lattice parameters (Å, degrees): 6.267 10.199 9.553 122.26 123.61 90.00
Last column: magnetic moment on the atom in μB.
Sites, in units of the cell vectors:
1 K 0.575 0.341 0.682  0.00
2 K 0.425 0.659 0.318  0.00
3 Sb 0.000 0.000 0.000  0.00
4 Cl 0.642 0.051 0.770  0.00
5 Cl 0.358 0.281 0.230  0.00
6 Cl 0.899 0.119 0.238  0.00
7 Cl 0.101 0.881 0.762  0.00
8 Cl 0.642 0.719 0.770  0.00
9 Cl 0.358 0.949 0.230  0.00
10 Cl 0.223 0.421 0.841  0.37
11 Cl 0.777 0.579 0.159  0.37

Summary:
- space group = C2/m
- formation energy from raw total energies (eV per atom) = -1.035


Record 18
Density functional theory data (GGA-PBE) for an optimized crystal structure of Y5Si2As2.

Lattice parameters (Å, degrees): 7.613 7.661 8.231 90.00 62.45 90.00
Sites, in units of the cell vectors:
1 Y 0.000 0.000 0.000
2 Y 0.500 0.500 0.000
3 Y 0.465 0.167 0.729
4 Y 0.806 0.833 0.729
5 Y 0.306 0.667 0.729
6 Y 0.965 0.333 0.729
7 Y 0.535 0.833 0.271
8 Y 0.194 0.167 0.271
9 Y 0.694 0.333 0.271
10 Y 0.035 0.667 0.271
11 Si 0.122 0.378 0.000
12 Si 0.878 0.622 0.000
13 Si 0.378 0.878 0.000
14 Si 0.622 0.122 0.000
15 As 0.202 0.000 0.596
16 As 0.702 0.500 0.596
17 As 0.798 0.000 0.404
18 As 0.298 0.500 0.404

Summary:
- space group = Cmce
- formation energy from raw total energies (eV per atom) = -1.093
- DOS(E_F) (states/eV/f.u.) = 6.819